Entry 1:
The following is a GGA-PBE calculation of a geometry-optimized KAgSn2Br6 structure, from the Alexandria database.

Unit cell a=7.9888 b=7.7960 c=8.3549 alpha=59.95 beta=60.19 gamma=56.77
Last column: nearest neighbours and their distance in Å.
Fractional coordinates of all 10 atoms:
K: 0.7983 0.8104 0.5795  6 Br 3.22-3.44
Ag: 0.3220 0.2998 0.0587  5 Br 2.83-3.09
Sn: 0.4953 0.5314 0.4627  3 Br 2.81-2.86
Sn: 0.9916 0.0053 0.9778  4 Br 2.84-3.05
Br: 0.5974 0.2387 0.2262  1 Ag 2.88, 1 Sn 2.92
Br: 0.2290 0.9229 0.2501  1 Sn 2.86, 1 Ag 2.87
Br: 0.9453 0.6089 0.2246  1 Ag 2.83, 1 Sn 2.84
Br: 0.3808 0.7348 0.7248  2 Sn 2.84-3.05
Br: 0.7283 0.1249 0.7729  1 Sn 2.84, 1 Ag 2.97
Br: 0.1738 0.3844 0.7378  1 Sn 2.81, 1 Ag 3.09

ρ	4.00	Mg/m³
E_form (uncorrected)	-0.863	eV per atom
DOS(E_F)	0.000	states/eV/f.u.


Entry 2:
The following is a GGA-PBE calculation of a geometry-optimized KAg2SnBr8 structure, from the Alexandria database.

Unit cell a=7.4412 b=6.9915 c=9.0467 alpha=71.35 beta=86.76 gamma=101.81
Last column: nearest neighbours and their distance in Å.
Fractional coordinates of all 12 atoms:
K: 0.0000 0.0000 0.5000  4 Br 3.31-3.32
Ag: 0.3862 0.4270 0.6958  3 Br 2.56-2.71
Ag: 0.6138 0.5730 0.3042  3 Br 2.56-2.71
Sn: 0.0000 0.0000 0.0000  6 Br 2.60-2.70
Br: 0.0178 0.7082 0.2760  1 Sn 2.70, 1 Ag 2.93
Br: 0.6495 0.7952 0.0055  1 Ag 2.62, 1 Sn 2.70
Br: 0.8784 0.2184 0.1507  1 Sn 2.60
Br: 0.9822 0.2918 0.7240  1 Sn 2.70, 1 Ag 2.93
Br: 0.3505 0.2048 0.9945  1 Ag 2.62, 1 Sn 2.70
Br: 0.1216 0.7816 0.8493  1 Sn 2.60
Br: 0.5019 0.7848 0.4819  2 Ag 2.56-2.71
Br: 0.4981 0.2152 0.5181  2 Ag 2.56-2.71

ρ	3.89	Mg/m³
E_form (uncorrected)	-0.642	eV per atom
DOS(E_F)	1.999	states/eV/f.u.